[1]
Pu4IrPt2 | GGA-PBE | relaxed

Results
Its density of states at the Fermi level is 4.192 states/eV/atom. The value obtained for the formation energy is -0.62 eV/atom. The volume comes out at 322 Å³ per cell.

a b c (Å): 7.4771 7.4771 7.4771
angles (deg): 109.85 108.73 109.85
Closest atoms and distances in Å follow each position.
Fractional coordinates of all 14 atoms:
Ir 0.0000 0.0000 0.0000  8 Pu 2.82-3.11
Ir 0.7500 0.5000 0.2500  8 Pu 2.82-3.11
Pt 0.8750 0.1314 0.5064  8 Pu 2.89-3.13
Pt 0.4936 0.3686 0.6250  8 Pu 2.89-3.13
Pt 0.3750 0.8686 0.7436  8 Pu 2.89-3.13
Pt 0.2564 0.6314 0.1250  8 Pu 2.89-3.13
Pu 0.1164 0.8873 0.3703  2 Ir 2.82-3.11, 4 Pt 2.89-3.13
Pu 0.6297 0.7461 0.5170  2 Ir 2.82-3.11, 4 Pt 2.89-3.13
Pu 0.9791 0.6127 0.7330  2 Ir 2.82-3.11, 4 Pt 2.89-3.13
Pu 0.2670 0.2461 0.8797  2 Ir 2.82-3.11, 4 Pt 2.89-3.13
Pu 0.6336 0.7539 0.0209  2 Ir 2.82-3.11, 4 Pt 2.89-3.13
Pu 0.7709 0.2539 0.8836  2 Ir 2.82-3.11, 4 Pt 2.89-3.13
Pu 0.4830 0.1127 0.2291  2 Ir 2.82-3.11, 4 Pt 2.89-3.13
Pu 0.1203 0.3873 0.3664  2 Ir 2.82-3.11, 4 Pt 2.89-3.13

[2]
In2ReSeO | GGA-PBE | relaxed

Results
The uncorrected formation energy comes out at 0.218 eV per atom. Its density of states at the Fermi level is 0.680 states/eV/atom. The volume comes out at 105 Å³ per cell.

a b c (Å): 5.2750 3.7751 5.2750
angles (deg): 90.00 90.00 90.00
Closest atoms and distances in Å follow each position.
Fractional coordinates of all 5 atoms:
Re 0.0000 0.5000 0.0000  2 O 1.89
O 0.0000 0.0000 0.0000  2 Re 1.89
Se 0.5000 0.5000 0.5000  8 In 3.24
In 0.0000 0.0000 0.5000  2 O 2.64
In 0.5000 0.0000 0.0000  2 O 2.64

[3]
La2SmTm3Te6 | GGA-PBE | relaxed

Results
The uncorrected formation energy comes out at -1.355 eV per atom. Its density of states at the Fermi level is 0.519 states/eV/atom. The volume comes out at 366 Å³ per cell.

a b c (Å): 4.3512 8.9836 9.9668
angles (deg): 105.37 102.61 90.00
Closest atoms and distances in Å follow each position.
Fractional coordinates of all 12 atoms:
La 0.8344 0.6693 0.6688  6 Te 3.22-3.23
La 0.1656 0.3307 0.3312  6 Te 3.22-3.23
Sm 0.5000 0.0000 0.0000  6 Te 3.17-3.19
Tm 0.5000 0.5000 0.0000  6 Te 3.03-3.07
Tm 0.8313 0.1672 0.6627  6 Te 3.03-3.05
Tm 0.1687 0.8328 0.3373  6 Te 3.03-3.05
Te 0.3315 0.9322 0.6631  3 Tm 3.03-3.05, 1 Sm 3.17, 2 La 3.22
Te 0.6621 0.5939 0.3241  3 Tm 3.03, 3 La 3.23
Te 0.6685 0.0678 0.3369  3 Tm 3.03-3.05, 1 Sm 3.17, 2 La 3.22
Te 0.9938 0.2558 0.9877  3 Tm 3.04-3.07, 2 Sm 3.19, 1 La 3.22
Te 0.0062 0.7442 0.0123  3 Tm 3.04-3.07, 2 Sm 3.19, 1 La 3.22
Te 0.3379 0.4061 0.6759  3 Tm 3.03, 3 La 3.23

[4]
Zr2MnTe | GGA-PBE | relaxed

Results
The uncorrected formation energy comes out at -0.231 eV per atom. Its density of states at the Fermi level is 0.899 states/eV/atom. The volume comes out at 82 Å³ per cell.

a b c (Å): 3.6083 3.6081 6.2629
angles (deg): 90.00 90.00 90.00
Closest atoms and distances in Å follow each position.
Fractional coordinates of all 4 atoms:
Mn 0.5000 0.5000 0.2500  8 Zr 2.95, 2 Te 3.13
Te 0.5000 0.5000 0.7500  8 Zr 3.04, 2 Mn 3.13
Zr 0.0000 0.0000 0.0149  1 Zr 2.95, 4 Mn 2.95, 4 Te 3.04
Zr 0.0000 0.0000 0.4851  1 Zr 2.95, 4 Mn 2.95, 4 Te 3.04

[5]
Ba4PdO | GGA-PBE | relaxed

Results
Its polymorph energy (0 for the lowest one) is 0 meV/atom. The uncorrected formation energy comes out at -0.982 eV per atom. Its density of states at the Fermi level is 0.713 states/eV/atom. The volume comes out at 556 Å³ per cell.

a b c (Å): 7.6059 7.6059 9.6061
angles (deg): 90.00 90.00 90.28
Closest atoms and distances in Å follow each position.
Fractional coordinates of all 12 atoms:
Ba 0.7027 0.2973 0.9662  1 O 2.61
Ba 0.2973 0.7027 0.4662  1 O 2.61
Ba 0.1744 0.2186 0.7500  1 O 2.52
Ba 0.8256 0.7814 0.2500  1 O 2.52
Ba 0.7027 0.2973 0.5338  1 O 2.61
Ba 0.2973 0.7027 0.0338  1 O 2.61
Ba 0.2186 0.1744 0.2500  1 O 2.52
Ba 0.7814 0.8256 0.7500  1 O 2.52
Pd 0.5254 0.4746 0.2500  6 Ba 3.22-3.33
Pd 0.4746 0.5254 0.7500  6 Ba 3.22-3.33
O 0.8495 0.1505 0.7500  4 Ba 2.52-2.61
O 0.1505 0.8495 0.2500  4 Ba 2.52-2.61

[6]
SrTcRh2 | GGA-PBE | relaxed

Results
Its polymorph energy (0 for the lowest one) is 244 meV/atom. Its density of states at the Fermi level is 0.991 states/eV/atom. The value obtained for the formation energy is 0.38 eV/atom. The volume comes out at 70 Å³ per cell.

a b c (Å): 6.8697 4.9924 2.8909
angles (deg): 90.03 65.09 124.51
Closest atoms and distances in Å follow each position.
Fractional coordinates of all 4 atoms:
Rh 0.0000 0.0000 0.0000  4 Tc 2.88, 4 Sr 2.88-2.89, 4 Rh 2.89-3.12
Rh 0.5000 0.0000 0.5000  4 Sr 2.88, 4 Tc 2.88-2.89, 4 Rh 2.89-3.12
Sr 0.0000 0.5000 0.5000  8 Rh 2.88-2.89, 2 Sr 2.89, 2 Tc 3.12
Tc 0.5000 0.5000 0.0000  8 Rh 2.88-2.89, 2 Tc 2.89, 2 Sr 3.12

[7]
LiPuZnN3 | GGA-PBE | relaxed

Results
The uncorrected formation energy comes out at -0.398 eV per atom. Its density of states at the Fermi level is 0.733 states/eV/atom. The volume comes out at 181 Å³ per cell.

a b c (Å): 3.4570 6.2503 8.8633
angles (deg): 109.01 90.00 90.00
Closest atoms and distances in Å follow each position.
Fractional coordinates of all 12 atoms:
Li 0.2500 0.1663 0.1030  1 N 2.10
Li 0.7500 0.8337 0.8970  1 N 2.10
Pu 0.2500 0.6979 0.1491  2 N 2.00-2.05
Pu 0.7500 0.3021 0.8509  2 N 2.00-2.05
Zn 0.2500 0.9774 0.6169  4 N 1.96-2.19
Zn 0.7500 0.0226 0.3831  4 N 1.96-2.19
N 0.7500 0.9292 0.1476  1 Zn 1.98, 1 Li 2.10
N 0.2500 0.0708 0.8524  1 Zn 1.98, 1 Li 2.10
N 0.2500 0.8096 0.3874  3 Zn 1.96-2.19, 1 Pu 2.00
N 0.7500 0.1904 0.6126  3 Zn 1.96-2.19, 1 Pu 2.00
N 0.7500 0.4365 0.0951  1 Pu 2.05
N 0.2500 0.5635 0.9049  1 Pu 2.05

[8]
Be3Hg | GGA-PBE | relaxed

Results
Its polymorph energy (0 for the lowest one) is 186 meV/atom. Its density of states at the Fermi level is 0.163 states/eV/atom. The value obtained for the formation energy is 0.45 eV/atom. The volume comes out at 50 Å³ per cell.

a b c (Å): 4.0939 4.0939 4.4024
angles (deg): 79.47 79.47 43.39
Closest atoms and distances in Å follow each position.
Fractional coordinates of all 4 atoms:
Be 0.5000 0.5000 0.5000  6 Be 2.31-2.32
Be 0.7712 0.7712 0.6639  5 Be 2.16-2.32
Be 0.2288 0.2288 0.3361  5 Be 2.16-2.32
Hg 0.0000 0.0000 0.0000  10 Be 2.50-2.75

[9]
Cd2SnPd2 | GGA-PBE | relaxed

Results
Its polymorph energy (0 for the lowest one) is 36 meV/atom. Its density of states at the Fermi level is 0.238 states/eV/atom. The value obtained for the formation energy is -0.35 eV/atom. The volume comes out at 411 Å³ per cell.

a b c (Å): 6.4942 6.5370 9.6928
angles (deg): 90.00 90.07 90.00
Closest atoms and distances in Å follow each position.
Fractional coordinates of all 20 atoms:
Cd 0.4998 0.2507 0.9921  4 Pd 2.83-2.86, 1 Cd 3.02
Cd 0.9998 0.2493 0.9921  4 Pd 2.83-2.86, 1 Cd 3.02
Cd 0.0002 0.7507 0.0079  4 Pd 2.83-2.86, 1 Cd 3.02
Cd 0.5002 0.7493 0.0079  4 Pd 2.83-2.86, 1 Cd 3.02
Cd 0.9992 0.7496 0.3198  6 Pd 2.78-2.92, 1 Cd 3.02
Cd 0.4992 0.7504 0.3198  6 Pd 2.78-2.92, 1 Cd 3.02
Cd 0.5008 0.2496 0.6802  6 Pd 2.78-2.92, 1 Cd 3.02
Cd 0.0008 0.2504 0.6802  6 Pd 2.78-2.92, 1 Cd 3.02
Sn 0.4996 0.2499 0.3297  6 Pd 2.71-2.89
Sn 0.5004 0.7501 0.6703  6 Pd 2.71-2.89
Sn 0.9996 0.2501 0.3297  6 Pd 2.71-2.89
Sn 0.0004 0.7499 0.6703  6 Pd 2.71-2.89
Pd 0.7495 0.0151 0.1714  2 Sn 2.71, 6 Cd 2.78-2.86
Pd 0.2495 0.4849 0.1714  2 Sn 2.71, 6 Cd 2.78-2.86
Pd 0.7505 0.5151 0.8286  2 Sn 2.71, 6 Cd 2.78-2.86
Pd 0.2505 0.9849 0.8286  2 Sn 2.71, 6 Cd 2.78-2.86
Pd 0.7497 0.4894 0.4973  4 Sn 2.78-2.89, 4 Cd 2.87-2.92
Pd 0.2497 0.0106 0.4973  4 Sn 2.78-2.89, 4 Cd 2.87-2.92
Pd 0.7503 0.9894 0.5027  4 Sn 2.78-2.89, 4 Cd 2.87-2.92
Pd 0.2503 0.5106 0.5027  4 Sn 2.78-2.89, 4 Cd 2.87-2.92

[10]
TaMnTc2 | GGA-PBE | relaxed

Results
Its density of states at the Fermi level is 0.999 states/eV/atom. The value obtained for the formation energy is 0.54 eV/atom. The volume comes out at 125 Å³ per cell.

a b c (Å): 6.9836 6.9836 5.5643
angles (deg): 51.13 51.13 90.00
Closest atoms and distances in Å follow each position.
Fractional coordinates of all 8 atoms:
Mn 0.5000 0.5000 0.0000  4 Tc 2.35, 2 Ta 2.56
Mn 0.2500 0.7500 0.5000  4 Tc 2.35, 2 Ta 2.56
Tc 0.5813 0.1250 0.2500  2 Mn 2.35
Tc 0.1687 0.6250 0.2500  2 Mn 2.35
Tc 0.3750 0.4187 0.7500  2 Mn 2.35
Tc 0.8750 0.8313 0.7500  2 Mn 2.35
Ta 0.0000 0.0000 0.0000  2 Mn 2.56, 4 Tc 2.77
Ta 0.7500 0.2500 0.5000  2 Mn 2.56, 4 Tc 2.77

[11]
Rb2BaInBr5 | GGA-PBE | relaxed

Results
The uncorrected formation energy comes out at -1.618 eV per atom. Its density of states at the Fermi level is 0.000 states/eV/atom. The volume comes out at 801 Å³ per cell.

a b c (Å): 4.9063 10.4490 16.0763
angles (deg): 90.00 90.00 103.58
Closest atoms and distances in Å follow each position.
Fractional coordinates of all 18 atoms:
Rb 0.8705 0.7411 0.7915  4 Br 3.51-3.67
Rb 0.0749 0.1498 0.6551  6 Br 3.46-3.58
Rb 0.1295 0.2589 0.2915  4 Br 3.51-3.67
Rb 0.9251 0.8502 0.1551  6 Br 3.46-3.58
Ba 0.7626 0.5253 0.5303  6 Br 3.20-3.29
Ba 0.2374 0.4747 0.0303  6 Br 3.20-3.29
In 0.5494 0.0988 0.9469  5 Br 3.14-3.50
In 0.4506 0.9012 0.4469  5 Br 3.14-3.50
Br 0.3935 0.7870 0.9975  1 Ba 3.22, 1 In 3.27, 2 Rb 3.58
Br 0.7177 0.4354 0.9005  2 Ba 3.25, 1 In 3.50, 1 Rb 3.57
Br 0.4922 0.9845 0.7657  1 In 3.14, 4 Rb 3.46-3.51
Br 0.2505 0.5010 0.6657  2 Ba 3.29, 1 Rb 3.57
Br 0.9171 0.8343 0.5707  1 Ba 3.20, 2 In 3.23, 1 Rb 3.48
Br 0.6065 0.2130 0.4975  1 Ba 3.22, 1 In 3.27, 2 Rb 3.58
Br 0.2823 0.5646 0.4005  2 Ba 3.25, 1 In 3.50, 1 Rb 3.57
Br 0.5078 0.0155 0.2657  1 In 3.14, 4 Rb 3.46-3.51
Br 0.7495 0.4990 0.1657  2 Ba 3.29, 1 Rb 3.57
Br 0.0829 0.1657 0.0707  1 Ba 3.20, 2 In 3.23, 1 Rb 3.48

[12]
Na2HgSb | GGA-PBE | relaxed

Results
The uncorrected formation energy comes out at -0.313 eV per atom. Its density of states at the Fermi level is 0.064 states/eV/atom. The volume comes out at 106 Å³ per cell.

a b c (Å): 5.1712 5.1714 5.1715
angles (deg): 105.31 111.59 111.60
Closest atoms and distances in Å follow each position.
Fractional coordinates of all 4 atoms:
Na 0.0001 0.4999 0.5001  2 Na 3.14, 4 Sb 3.30, 4 Hg 3.30
Na 0.9999 0.0001 0.9999  2 Na 3.14, 4 Sb 3.30, 4 Hg 3.30
Hg 0.5000 0.7500 0.2500  2 Sb 3.14, 8 Na 3.30
Sb 0.5000 0.2500 0.7500  2 Hg 3.14, 8 Na 3.30

Question: What is the formula in the eleventh record?
Answer: Rb2BaInBr5

Question: What is the formula in the first record?
Answer: Pu4IrPt2